K2AgAu: relaxed, GGA-PBEsol.

Results
ΔE_f: 54.4 meV per atom
V: 29.6 A^3/atom

```
K2AgAu
1.0
3.888 0.000 0.000
0.000 3.888 0.000
0.000 0.000 7.826
K Ag Au
2 1 1
Direct
0.000 0.000 0.240
0.000 0.000 0.760
0.500 0.500 0.500
0.500 0.500 0.000
```


K2AgAu: relaxed, GGA-PBEsol.

Results
ΔE_f: 45.8 meV per atom
V: 25.8 A^3/atom

```
K2AgAu
1.0
0.000 3.724 3.724
3.724 0.000 3.724
3.724 3.724 0.000
K Ag Au
2 1 1
Direct
0.000 0.000 0.000
0.250 0.250 0.250
0.750 0.750 0.750
0.500 0.500 0.500
```


K2AgAu: relaxed, GGA-PBEsol.

Results
ΔE_f: -27.5 meV per atom
V: 32.2 A^3/atom

```
K2AgAu
1.0
4.757 0.000 0.000
0.000 2.311 5.866
0.000 -2.311 5.866
K Ag Au
2 1 1
Direct
0.000 0.000 0.000
0.500 0.291 0.291
0.000 0.702 0.702
0.500 0.586 0.586
```


La2AgAu: relaxed, GGA-PBEsol.

Results
ΔE_f: -507.2 meV per atom
V: 26.8 A^3/atom

```
La2AgAu
1.0
3.934 0.000 0.000
0.000 4.787 0.000
-1.836 0.000 5.688
La Ag Au
2 1 1
Direct
0.000 0.000 0.000
0.263 0.500 0.553
0.556 0.500 0.118
0.709 0.000 0.438
```